Entry 1:
First-principles (GGA-PBE) data for a relaxed structure of CdFe2Cl, as listed in the Alexandria database.

Lattice parameters (Å, degrees): 2.8581 5.3494 8.8409 90.00 90.00 90.00
Fractional coordinates of all 8 atoms:
1 Cd 0.0000 0.0000 0.0000
2 Cd 0.5000 0.5000 0.5000
3 Fe 0.0000 0.5000 0.2273
4 Fe 0.0000 0.5000 0.7727
5 Fe 0.5000 0.0000 0.2727
6 Fe 0.5000 0.0000 0.7273
7 Cl 0.0000 0.0000 0.5000
8 Cl 0.5000 0.5000 0.0000

Results
V	16.90	Å³ per atom
N(E_F)	6.1	states/eV/cell
energy above the most stable polymorph in this dataset	363.2	meV/atom
uncorrected formation energy	0.445	eV/atom
total moment	5.76	μB per formula unit

***

Entry 2:
First-principles (GGA-PBE) data for a relaxed structure of InTePt2, as listed in the Alexandria database.

Lattice parameters (Å, degrees): 6.7245 4.0135 6.7770 90.00 110.74 90.00
Fractional coordinates of all 8 atoms:
1 In 0.0000 0.0000 0.0000
2 In 0.5000 0.5000 0.0000
3 Te 0.0000 0.5000 0.5000
4 Te 0.5000 0.0000 0.5000
5 Pt 0.2498 0.0000 0.7491
6 Pt 0.2502 0.5000 0.2509
7 Pt 0.7502 0.0000 0.2509
8 Pt 0.7498 0.5000 0.7491

Results
V	21.38	Å³ per atom
N(E_F)	4.6	states/eV/cell
energy above the most stable polymorph in this dataset	104.0	meV/atom
uncorrected formation energy	-0.184	eV/atom
total moment	0.00	μB per formula unit